# LaCoNO

Crystalline LaCoNO at its relaxed geometry (GGA+U, the Open Quantum Materials Database).

Final energy   -6.83 eV/atom
Energy above the lowest structure with this stoichiometry   291 meV/atom
Crystal system   tetragonal

Unit cell a=5.1218 b=5.1218 c=4.4901 alpha=90.00 beta=90.00 gamma=90.00
Space group P4/nmm (No. 129, origin choice 2)
Unique sites:
La 0.2500 0.7500 0.0000 [2 per cell]
Co 0.2500 0.2500 0.4893 [2 per cell]
N 0.2500 0.2500 0.0168 [2 per cell]
O 0.2500 0.7500 0.5000 [2 per cell]